1.
# Al2FeH2 (GGA-PBE, optimized geometry)
# Energy = -4.413 eV/atom
# Density of states at the Fermi level = 3.1 states/eV/f.u.
# M_tot = 0.28 μB per atom
# Energy above the most stable polymorph in this dataset = 0.067 eV per atom
data_Al2FeH2
_chemical_formula_sum 'Al4 Fe2 H4'
_space_group_name_H-M_alt 'P 4/m b m'
_space_group_IT_number 127
_space_group_name_Hall '-P 4 2ab'
_cell_length_a 5.067
_cell_length_b 5.067
_cell_length_c 3.882
_cell_angle_alpha 90.00
_cell_angle_beta 90.00
_cell_angle_gamma 90.00
loop_
_atom_site_label
_atom_site_type_symbol
_atom_site_fract_x
_atom_site_fract_y
_atom_site_fract_z
Al1 Al 0.188 0.312 0.000
Fe1 Fe 0.000 0.000 0.500
H1 H 0.208 0.292 0.500

---

2.
# PrPu2Te3 (GGA-PBE, optimized geometry)
# Energy = -8.348 eV/atom
# Density of states at the Fermi level = 22.8 states/eV/f.u.
# M_tot = 1.90 μB per atom
data_PrPu2Te3
_chemical_formula_sum 'Pr2 Pu4 Te6'
_space_group_name_H-M_alt 'P 63/m m c'
_space_group_IT_number 194
_space_group_name_Hall '-P 6c 2c'
_cell_length_a 4.4201
_cell_length_b 4.4201
_cell_length_c 22.3683
_cell_angle_alpha 90.00
_cell_angle_beta 90.00
_cell_angle_gamma 120.00
loop_
_atom_site_label
_atom_site_type_symbol
_atom_site_fract_x
_atom_site_fract_y
_atom_site_fract_z
Pr1 Pr 0.0000 0.0000 0.2500
Pu1 Pu 0.3333 0.6667 0.0824
Te1 Te 0.0000 0.0000 0.0000
Te2 Te 0.3333 0.6667 0.6621

---

3.
# Ho3UCo3 (GGA-PBE, optimized geometry)
# Energy = -6.819 eV/atom
# Density of states at the Fermi level = 7.5 states/eV/f.u.
# M_tot = 0.00 μB per atom
# Formation enthalpy at 0 K = -199 meV/atom
data_Ho3UCo3
_chemical_formula_sum 'Ho12 U4 Co12'
_space_group_name_H-M_alt 'C 1 2/m 1'
_space_group_IT_number 12
_space_group_name_Hall '-C 2y'
_cell_length_a 12.528
_cell_length_b 3.604
_cell_length_c 14.048
_cell_angle_alpha 90.00
_cell_angle_beta 114.65
_cell_angle_gamma 90.00
loop_
_atom_site_label
_atom_site_type_symbol
_atom_site_fract_x
_atom_site_fract_y
_atom_site_fract_z
Ho1 Ho 0.038 0.000 0.298
Ho2 Ho 0.138 0.500 0.136
Ho3 Ho 0.165 0.000 0.581
U1 U 0.165 0.500 0.907
Co1 Co 0.017 0.500 0.428
Co2 Co 0.061 0.000 0.949
Co3 Co 0.162 0.500 0.749

---

4.
# HgP2 (GGA-PBE, optimized geometry)
# Energy = -3.671 eV/atom
# M_tot = 0.00 μB per atom
# Formation enthalpy at 0 K = 37 meV/atom
data_HgP2
_chemical_formula_sum 'Hg2 P4'
_space_group_name_H-M_alt 'P 63/m m c'
_space_group_IT_number 194
_space_group_name_Hall '-P 6c 2c'
_cell_length_a 3.2911
_cell_length_b 3.2911
_cell_length_c 15.4350
_cell_angle_alpha 90.00
_cell_angle_beta 90.00
_cell_angle_gamma 120.00
loop_
_atom_site_label
_atom_site_type_symbol
_atom_site_fract_x
_atom_site_fract_y
_atom_site_fract_z
Hg1 Hg 0.0000 0.0000 0.2500
P1 P 0.3333 0.6667 0.0400

---

- energy of number 1 (Al2FeH2)?
  -4.413 eV/atom